Entry 1:
Entry from the Alexandria database: a geometry-optimized RuBr structure (PBE).

E above lowest polymorph: 0.977 eV/atom
Density of states at the Fermi level: 2.25 states/eV per atom
ΔE_f (raw): 1186.9 meV/atom
Total moment: 0.55 μB per formula unit

a b c (Å): 5.288 5.288 5.288
angles (deg): 90.00 90.00 90.00
Site moments in Bohr magnetons follow the coordinates.
Sites, in units of the cell vectors:
Br1 0.000 0.500 0.500  0.01
Br2 0.500 0.000 0.500  0.01
Br3 0.500 0.500 0.000  0.01
Br4 0.000 0.000 0.000  0.01
Ru1 0.500 0.500 0.500  0.51
Ru2 0.000 0.500 0.000  0.51
Ru3 0.000 0.000 0.500  0.51
Ru4 0.500 0.000 0.000  0.51



Entry 2:
Entry from the Alexandria database: a geometry-optimized RuBr structure (PBE).

E above lowest polymorph: 1.053 eV/atom
Density of states at the Fermi level: 1.12 states/eV per atom
ΔE_f (raw): 1262.6 meV/atom
Total moment: 0.95 μB per formula unit

a b c (Å): 4.669 4.669 4.669
angles (deg): 60.00 60.00 60.00
Site moments in Bohr magnetons follow the coordinates.
Sites, in units of the cell vectors:
Br1 0.000 0.000 0.000  0.08
Br2 0.750 0.750 0.750  0.08
Ru1 0.250 0.250 0.250  0.82
Ru2 0.500 0.500 0.500  0.82



Entry 3:
Entry from the Alexandria database: a geometry-optimized Ru2Br structure (PBE).

E above lowest polymorph: 0.000 eV/atom
Density of states at the Fermi level: 1.12 states/eV per atom
ΔE_f (raw): 352.1 meV/atom
Total moment: 0.00 μB per formula unit

a b c (Å): 9.406 9.406 4.212
angles (deg): 90.00 90.00 161.76
Sites, in units of the cell vectors:
Ru1 0.081 0.919 0.750
Ru2 0.919 0.081 0.250
Ru3 0.464 0.536 0.750
Ru4 0.536 0.464 0.250
Br1 0.834 0.166 0.750
Br2 0.166 0.834 0.250



Entry 4:
Entry from the Alexandria database: a geometry-optimized RuBr structure (PBE).

E above lowest polymorph: 0.505 eV/atom
Density of states at the Fermi level: 1.48 states/eV per atom
ΔE_f (raw): 714.5 meV/atom
Total moment: 0.00 μB per formula unit

a b c (Å): 7.840 7.840 7.840
angles (deg): 90.00 90.00 90.00
Sites, in units of the cell vectors:
Ru1 0.385 0.615 0.615
Ru2 0.115 0.115 0.885
Ru3 0.615 0.385 0.615
Ru4 0.115 0.885 0.115
Ru5 0.615 0.615 0.385
Ru6 0.885 0.115 0.115
Ru7 0.385 0.385 0.385
Ru8 0.885 0.885 0.885
Br1 0.799 0.201 0.799
Br2 0.201 0.799 0.799
Br3 0.701 0.701 0.701
Br4 0.299 0.701 0.299
Br5 0.799 0.799 0.201
Br6 0.201 0.201 0.201
Br7 0.299 0.299 0.701
Br8 0.701 0.299 0.299



Entry 5:
Entry from the Alexandria database: a geometry-optimized RuBr3 structure (PBE).

Density of states at the Fermi level: 0.49 states/eV per atom
ΔE_f (raw): -138.1 meV/atom
Total moment: 1.33 μB per formula unit

a b c (Å): 5.092 7.525 12.336
angles (deg): 90.00 90.00 90.00
Site moments in Bohr magnetons follow the coordinates.
Sites, in units of the cell vectors:
Br1 0.250 0.401 0.750  0.14
Br2 0.750 0.642 0.613  0.04
Br3 0.250 0.858 0.387  0.04
Br4 0.750 0.099 0.250  0.14
Br5 0.750 0.599 0.250  0.14
Br6 0.250 0.858 0.113  0.04
Br7 0.750 0.142 0.613  0.04
Br8 0.250 0.358 0.113  0.04
Br9 0.250 0.901 0.750  0.14
Br10 0.250 0.358 0.387  0.04
Br11 0.750 0.142 0.887  0.04
Br12 0.750 0.642 0.887  0.04
Ru1 0.250 0.609 0.250  0.97
Ru2 0.750 0.891 0.750  0.97
Ru3 0.750 0.391 0.750  0.97
Ru4 0.250 0.109 0.250  0.97



Entry 6:
Entry from the Alexandria database: a geometry-optimized RuBr structure (PBE).

E above lowest polymorph: 0.098 eV/atom
Density of states at the Fermi level: 0.75 states/eV per atom
ΔE_f (raw): 307.6 meV/atom
Total moment: 0.00 μB per formula unit

a b c (Å): 3.512 2.973 10.354
angles (deg): 54.31 90.00 90.00
Sites, in units of the cell vectors:
Ru1 0.250 0.100 0.074
Ru2 0.750 0.900 0.926
Br1 0.250 0.339 0.710
Br2 0.750 0.661 0.290



Entry 7:
Entry from the Alexandria database: a geometry-optimized RuBr structure (PBE).

E above lowest polymorph: 0.671 eV/atom
Density of states at the Fermi level: 1.32 states/eV per atom
ΔE_f (raw): 881.2 meV/atom
Total moment: 0.59 μB per formula unit

a b c (Å): 3.226 3.226 8.380
angles (deg): 90.00 90.00 120.00
Site moments in Bohr magnetons follow the coordinates.
Sites, in units of the cell vectors:
Br1 0.667 0.333 0.898  0.03
Br2 0.333 0.667 0.398  0.03
Ru1 0.333 0.667 0.684  0.54
Ru2 0.667 0.333 0.184  0.54



Entry 8:
Entry from the Alexandria database: a geometry-optimized RuBr3 structure (PBE).

Density of states at the Fermi level: 0.72 states/eV per atom
ΔE_f (raw): 310.8 meV/atom
Total moment: 2.34 μB per formula unit

a b c (Å): 4.169 4.169 10.163
angles (deg): 90.00 90.00 133.72
Site moments in Bohr magnetons follow the coordinates.
Sites, in units of the cell vectors:
Br1 0.000 0.000 0.432  0.10
Br2 0.500 0.500 0.750  0.03
Br3 0.000 0.000 0.068  0.10
Ru1 0.500 0.500 0.250  1.88



Entry 9:
Entry from the Alexandria database: a geometry-optimized RuBr structure (PBE).

E above lowest polymorph: 0.411 eV/atom
Density of states at the Fermi level: 1.00 states/eV per atom
ΔE_f (raw): 620.5 meV/atom
Total moment: 0.00 μB per formula unit

a b c (Å): 10.166 4.396 5.246
angles (deg): 90.00 90.00 90.00
Sites, in units of the cell vectors:
Br1 0.664 0.590 0.341
Br2 0.836 0.410 0.841
Br3 0.336 0.590 0.341
Br4 0.164 0.410 0.841
Br5 0.000 0.749 0.297
Br6 0.500 0.251 0.797
Ru1 0.285 0.917 0.762
Ru2 0.215 0.083 0.262
Ru3 0.785 0.083 0.262
Ru4 0.000 0.243 0.499
Ru5 0.500 0.757 0.999
Ru6 0.715 0.917 0.762



Entry 10:
Entry from the Alexandria database: a geometry-optimized RuBr structure (PBE).

E above lowest polymorph: 0.279 eV/atom
Density of states at the Fermi level: 1.29 states/eV per atom
ΔE_f (raw): 489.3 meV/atom
Total moment: 0.00 μB per formula unit

a b c (Å): 3.595 4.157 6.851
angles (deg): 74.82 90.00 90.00
Sites, in units of the cell vectors:
Ru1 0.000 0.545 0.403
Ru2 0.500 0.205 0.347
Br1 0.000 0.036 0.104
Br2 0.500 0.714 0.646



Entry 11:
Entry from the Alexandria database: a geometry-optimized Ru3Br structure (PBE).

E above lowest polymorph: 0.470 eV/atom
Density of states at the Fermi level: 1.37 states/eV per atom
ΔE_f (raw): 1047.4 meV/atom
Total moment: 0.00 μB per formula unit

a b c (Å): 8.036 8.036 8.036
angles (deg): 150.50 150.50 42.21
Sites, in units of the cell vectors:
Br1 0.603 0.603 0.000
Br2 0.397 0.397 0.000
Ru1 0.143 0.143 0.000
Ru2 0.250 0.750 0.500
Ru3 0.750 0.250 0.500
Ru4 0.857 0.857 0.000
Ru5 0.500 0.000 0.500
Ru6 0.000 0.500 0.500



Entry 12:
Entry from the Alexandria database: a geometry-optimized Ru3Br structure (PBE).

E above lowest polymorph: 0.305 eV/atom
Density of states at the Fermi level: 1.41 states/eV per atom
ΔE_f (raw): 882.4 meV/atom
Total moment: 0.00 μB per formula unit

a b c (Å): 5.291 5.291 5.291
angles (deg): 147.82 130.03 60.69
Sites, in units of the cell vectors:
Ru1 0.500 0.500 0.000
Ru2 0.771 0.271 0.500
Ru3 0.229 0.729 0.500
Br1 0.000 0.000 0.000



Entry 13:
Entry from the Alexandria database: a geometry-optimized Ru3Br5 structure (PBE).

E above lowest polymorph: 0.000 eV/atom
Density of states at the Fermi level: 0.50 states/eV per atom
ΔE_f (raw): 296.1 meV/atom
Total moment: 3.22 μB per formula unit

a b c (Å): 9.520 10.150 7.482
angles (deg): 100.14 95.78 142.13
Site moments in Bohr magnetons follow the coordinates.
Sites, in units of the cell vectors:
Br1 0.211 0.822 0.500  0.06
Br2 0.314 0.344 0.721  0.02
Br3 0.742 0.980 0.848  0.04
Br4 0.394 0.632 0.152  0.04
Br5 0.092 0.123 0.279  0.02
Br6 0.928 0.818 0.792  0.01
Br7 0.636 0.525 0.208  0.01
Br8 0.910 0.317 0.500  0.04
Br9 0.765 0.360 0.905  0.02
Br10 0.360 0.954 0.095  0.02
Ru1 0.497 0.266 0.500  2.10
Ru2 0.194 0.240 0.002  0.28
Ru3 0.552 0.902 0.500  2.23
Ru4 0.692 0.738 0.998  0.28
Ru5 0.755 0.392 0.303  0.32
Ru6 0.952 0.588 0.697  0.32



Entry 14:
Entry from the Alexandria database: a geometry-optimized RuBr structure (PBE).

E above lowest polymorph: 0.389 eV/atom
Density of states at the Fermi level: 1.20 states/eV per atom
ΔE_f (raw): 598.6 meV/atom
Total moment: 0.48 μB per formula unit

a b c (Å): 3.121 3.478 8.500
angles (deg): 90.00 90.00 90.00
Site moments in Bohr magnetons follow the coordinates.
Sites, in units of the cell vectors:
Ru1 0.500 0.500 0.758  0.45
Ru2 0.500 0.000 0.575  0.45
Br1 0.000 0.500 0.385  0.00
Br2 0.000 0.000 0.948  0.00



Entry 15:
Entry from the Alexandria database: a geometry-optimized Ru2Br structure (PBE).

E above lowest polymorph: 0.695 eV/atom
Density of states at the Fermi level: 1.57 states/eV per atom
ΔE_f (raw): 1047.0 meV/atom
Total moment: 0.33 μB per formula unit

a b c (Å): 5.597 5.597 5.597
angles (deg): 126.78 126.78 78.61
Site moments in Bohr magnetons follow the coordinates.
Sites, in units of the cell vectors:
Ru1 0.823 0.323 0.146  0.15
Ru2 0.677 0.823 0.500  0.15
Ru3 0.177 0.677 0.854  0.15
Ru4 0.323 0.177 0.500  0.15
Br1 0.250 0.250 0.000  0.01
Br2 0.750 0.750 0.000  0.01



Entry 16:
Entry from the Alexandria database: a geometry-optimized RuBr structure (PBE).

E above lowest polymorph: 0.188 eV/atom
Density of states at the Fermi level: 0.53 states/eV per atom
ΔE_f (raw): 398.4 meV/atom
Total moment: 0.00 μB per formula unit

a b c (Å): 8.735 8.735 6.129
angles (deg): 73.97 73.97 23.43
Sites, in units of the cell vectors:
Br1 0.955 0.955 0.003
Br2 0.699 0.699 0.787
Br3 0.542 0.542 0.437
Ru1 0.311 0.311 0.653
Ru2 0.910 0.910 0.635
Ru3 0.415 0.415 0.318



Entry 17:
Entry from the Alexandria database: a geometry-optimized Ru3Br structure (PBE).

E above lowest polymorph: 0.369 eV/atom
Density of states at the Fermi level: 1.11 states/eV per atom
ΔE_f (raw): 946.6 meV/atom
Total moment: 0.00 μB per formula unit

a b c (Å): 4.697 4.697 2.860
angles (deg): 90.00 90.00 106.87
Sites, in units of the cell vectors:
Ru1 0.500 0.500 0.000
Ru2 0.500 0.000 0.500
Ru3 0.000 0.500 0.500
Br1 0.000 0.000 0.000



Entry 18:
Entry from the Alexandria database: a geometry-optimized Ru2Br structure (PBE).

E above lowest polymorph: 0.366 eV/atom
Density of states at the Fermi level: 0.81 states/eV per atom
ΔE_f (raw): 718.2 meV/atom
Total moment: 0.00 μB per formula unit

a b c (Å): 4.514 4.855 9.626
angles (deg): 90.00 90.00 90.00
Sites, in units of the cell vectors:
Br1 0.750 0.974 0.870
Br2 0.250 0.026 0.130
Br3 0.750 0.474 0.630
Br4 0.250 0.526 0.370
Ru1 0.750 0.961 0.556
Ru2 0.250 0.488 0.792
Ru3 0.250 0.539 0.056
Ru4 0.750 0.512 0.208
Ru5 0.250 0.039 0.444
Ru6 0.750 0.461 0.944
Ru7 0.250 0.988 0.708
Ru8 0.750 0.012 0.292



Entry 19:
Entry from the Alexandria database: a geometry-optimized Ru2Br structure (PBE).

E above lowest polymorph: 0.219 eV/atom
Density of states at the Fermi level: 0.96 states/eV per atom
ΔE_f (raw): 571.2 meV/atom
Total moment: 0.00 μB per formula unit

a b c (Å): 6.292 6.292 6.292
angles (deg): 152.88 152.57 38.96
Sites, in units of the cell vectors:
Ru1 0.187 0.187 0.000
Ru2 0.813 0.813 0.000
Br1 0.000 0.500 0.500



Entry 20:
Entry from the Alexandria database: a geometry-optimized RuBr structure (PBE).

E above lowest polymorph: 0.279 eV/atom
Density of states at the Fermi level: 0.89 states/eV per atom
ΔE_f (raw): 488.8 meV/atom
Total moment: 0.00 μB per formula unit

a b c (Å): 7.336 5.806 8.929
angles (deg): 90.00 90.00 90.00
Sites, in units of the cell vectors:
Ru1 0.510 0.074 0.893
Ru2 0.333 0.786 0.793
Ru3 0.990 0.926 0.393
Ru4 0.667 0.286 0.707
Ru5 0.490 0.574 0.607
Ru6 0.167 0.214 0.293
Ru7 0.010 0.426 0.107
Ru8 0.833 0.714 0.207
Br1 0.824 0.059 0.042
Br2 0.129 0.052 0.661
Br3 0.371 0.948 0.161
Br4 0.629 0.448 0.339
Br5 0.676 0.941 0.542
Br6 0.871 0.552 0.839
Br7 0.176 0.559 0.458
Br8 0.324 0.441 0.958